Here is crystalline Pm4Nd3TmSe8 at its relaxed geometry from Alexandria. Energies are from PBE.

Properties
Crystal system = trigonal
DOS(E_F) = 10.45 states/eV/f.u.
Final energy = -94.54 eV/cell
Formation energy (no corrections) = -1806 meV/atom
Total moment = 0.00 μB per cell

a b c (Å): 8.374 8.374 8.374
angles (deg): 60.10 60.10 60.10
Sites, in units of the cell vectors:
Pm  0.000  0.000  0.000
Pm  0.000  0.500  0.500
Pm  0.500  0.000  0.500
Pm  0.500  0.500  0.000
Nd  0.000  0.000  0.500
Nd  0.000  0.500  0.000
Nd  0.500  0.000  0.000
Tm  0.500  0.500  0.500
Se  0.251  0.251  0.251
Se  0.257  0.257  0.741
Se  0.257  0.741  0.257
Se  0.259  0.743  0.743
Se  0.741  0.257  0.257
Se  0.743  0.259  0.743
Se  0.743  0.743  0.259
Se  0.749  0.749  0.749


Here is crystalline Er6AgPb at its relaxed geometry from Alexandria. Energies are from PBE.

Properties
Crystal system = tetragonal
Energy of formation = -17.7 kJ per mole of atoms
DOS(E_F) = 8.41 states/eV/f.u.
Final energy = -35.40 eV/cell
Total moment = 0.00 μB per cell

a b c (Å): 9.712 9.712 9.712
angles (deg): 150.08 150.08 42.83
Sites, in units of the cell vectors:
Er  0.113  0.613  0.500
Er  0.248  0.248  0.000
Er  0.387  0.887  0.500
Er  0.613  0.113  0.500
Er  0.752  0.752  0.000
Er  0.887  0.387  0.500
Ag  0.000  0.000  0.000
Pb  0.500  0.500  0.000


Here is crystalline PuSn2Pd3 at its relaxed geometry from Alexandria. Energies are from PBE.

Properties
Crystal system = monoclinic
Energy of formation = -51.2 kJ per mole of atoms
DOS(E_F) = 16.44 states/eV/f.u.
ΔE to the lowest computed polymorph = 0 kJ/mol of formula units
Final energy = -82.19 eV/cell
Total moment = 10.85 μB per cell

a b c (Å): 8.741 8.741 6.678
angles (deg): 104.00 104.00 29.73
Sites, in units of the cell vectors:
Pu  0.120  0.120  0.144
Pu  0.880  0.880  0.856
Sn  0.230  0.230  0.685
Sn  0.487  0.487  0.226
Sn  0.513  0.513  0.774
Sn  0.770  0.770  0.315
Pd  0.071  0.071  0.662
Pd  0.309  0.309  0.091
Pd  0.360  0.360  0.520
Pd  0.640  0.640  0.480
Pd  0.691  0.691  0.909
Pd  0.929  0.929  0.338


Here is crystalline CaHo2Ag2 at its relaxed geometry from Alexandria. Energies are from PBE.

Properties
Crystal system = orthorhombic
Energy of formation = -14.0 kJ per mole of atoms
DOS(E_F) = 3.47 states/eV/f.u.
Final energy = -17.59 eV/cell
Total moment = 0.00 μB per cell

a b c (Å): 10.452 10.452 3.602
angles (deg): 90.00 90.00 159.87
Sites, in units of the cell vectors:
Ca  0.000  0.000  0.000
Ho  0.177  0.823  0.000
Ho  0.823  0.177  0.000
Ag  0.402  0.598  0.500
Ag  0.598  0.402  0.500